# 1
Zn2SbAu2, relaxed, DFT PBE; final energy = -2.738 eV per atom; energy relative to the elements, uncorrected = -93 meV/atom; E above lowest polymorph = 0.000 eV per atom; magnetization = 0.0 Bohr magnetons per cell; DOS at the Fermi energy = 1.94 states/eV per cell
1.0
3.8280 0.0000 0.0000
0.0000 3.8280 0.0000
1.9140 1.9140 6.6080
Sb Zn Au
1 2 2
Cartesian
0.0000 0.0000 0.0000 Sb
3.8280 1.9140 3.3040 Zn
1.9140 3.8280 3.3040 Zn
1.9140 1.9140 1.4488 Au
3.8280 3.8280 5.1591 Au

# 2
Tl2ReCl, relaxed, DFT PBE; final energy = -4.023 eV per atom; energy relative to the elements, uncorrected = 734 meV/atom; E above lowest polymorph = 0.255 eV per atom; magnetization = 1.3 Bohr magnetons per cell; DOS at the Fermi energy = 3.56 states/eV per cell
1.0
3.2248 0.0396 0.0000
-1.2405 2.9769 0.0000
0.0000 0.0000 9.1255
Cl Re Tl
1 1 2
Cartesian
0.9921 1.5082 2.2814 Cl
0.9921 1.5082 6.8441 Re
0.0000 0.0000 9.0632 Tl
0.0000 0.0000 4.6250 Tl

# 3
CaCe3Y2Te6, relaxed, DFT PBE; final energy = -5.687 eV per atom; energy relative to the elements, uncorrected = -1388 meV/atom; magnetization = 3.9 Bohr magnetons per cell; DOS at the Fermi energy = 22.82 states/eV per cell
1.0
4.4138 0.0000 0.0000
0.0000 8.9781 0.2380
-2.2069 -2.6743 9.3771
Ca Ce Y Te
1 3 2 6
Cartesian
2.2069 0.0000 0.0000 Ca
2.2069 4.4890 0.1190 Ce
2.2069 -0.2742 6.2996 Ce
0.0000 6.5780 3.3155 Ce
2.2069 4.1684 6.3596 Y
0.0000 2.1354 3.2555 Y
0.0000 6.3714 6.4950 Te
2.2069 4.2922 3.2863 Te
2.2069 -0.0676 3.1200 Te
0.0000 2.1929 0.1305 Te
2.2069 4.1109 9.4846 Te
0.0000 2.0116 6.3288 Te

# 4
MoP2S2, relaxed, DFT PBE; final energy = -5.107 eV per atom; energy relative to the elements, uncorrected = 874 meV/atom; E above lowest polymorph = 0.282 eV per atom; magnetization = 2.5 Bohr magnetons per cell; DOS at the Fermi energy = 2.05 states/eV per cell
1.0
-1.2511 -2.4431 3.4774
2.8897 -3.1470 -1.1713
3.1168 1.9378 2.4828
P Mo S
2 1 2
Cartesian
0.0000 0.0000 0.0000 P
1.5584 0.9689 1.2414 P
2.3777 -1.8261 2.3944 Mo
1.4448 -1.5735 -0.5857 S
-0.6255 -1.2215 1.7387 S

# 5
MgMo5, relaxed, DFT PBE; final energy = -9.082 eV per atom; DFT formation energy = 0.209 eV per atom; E above lowest polymorph = 0.000 eV per atom; magnetization = 0.0 Bohr magnetons per cell; DOS at the Fermi energy = 5.40 states/eV per cell
1.0
-0.0066 7.0553 0.5632
-2.7921 -5.3655 -3.6756
-2.4098 -0.1680 2.0758
Mg Mo
1 5
Cartesian
-1.3994 0.8449 -1.5562 Mg
-3.0869 -1.3909 -1.2526 Mo
-2.3368 -3.3353 -2.9827 Mo
-1.2049 -0.0840 1.0379 Mo
-0.4619 5.0251 -0.1296 Mo
-2.1217 2.9127 0.2161 Mo

# 6
BeCu5, relaxed, DFT PBE; final energy = -4.032 eV per atom; DFT formation energy = 0.002 eV per atom; E above lowest polymorph = 0.032 eV per atom; magnetization = 0.0 Bohr magnetons per cell; DOS at the Fermi energy = 4.73 states/eV per cell
1.0
-0.7206 1.6831 2.9920
-1.1070 -4.4676 2.2469
7.2361 -0.7144 2.1445
Be Cu
2 10
Cartesian
0.5792 -1.6988 4.1796 Be
4.8294 -1.8001 3.2039 Be
1.1275 0.5142 3.0666 Cu
4.2811 -4.0130 4.3168 Cu
1.8368 -3.7554 3.5834 Cu
5.9114 0.0256 4.4934 Cu
3.5718 0.2566 3.8001 Cu
-0.5028 -3.5244 2.8900 Cu
2.4075 -1.5749 2.4939 Cu
5.4000 -2.1608 5.6005 Cu
3.0011 -1.9239 4.8896 Cu
0.0085 -1.3381 1.7829 Cu

Copy entry 5 word for word.
MgMo5, relaxed, DFT PBE; final energy = -9.082 eV per atom; DFT formation energy = 0.209 eV per atom; E above lowest polymorph = 0.000 eV per atom; magnetization = 0.0 Bohr magnetons per cell; DOS at the Fermi energy = 5.40 states/eV per cell
1.0
-0.0066 7.0553 0.5632
-2.7921 -5.3655 -3.6756
-2.4098 -0.1680 2.0758
Mg Mo
1 5
Cartesian
-1.3994 0.8449 -1.5562 Mg
-3.0869 -1.3909 -1.2526 Mo
-2.3368 -3.3353 -2.9827 Mo
-1.2049 -0.0840 1.0379 Mo
-0.4619 5.0251 -0.1296 Mo
-2.1217 2.9127 0.2161 Mo

> Which value of magnetization does entry 3 give?

3.9 Bohr magnetons per cell

> Which of these has the highest DOS at the Fermi energy?

CaCe3Y2Te6